First-principles (PBE) data for crystalline TmLu2Mn at its relaxed geometry, as listed in the Alexandria database.

Results
As for the total energy: -22.3 eV per cell. For the formation energy, the calculation gives 0.40 eV/f.u. The density is 9.4 g cm⁻³.

Cell: 3.4569 3.4569 8.4445 Å, 90.00 90.00 90.00°
Closest atoms and distances in Å follow each position.
Fractional coordinates of all 4 atoms:
Lu 0.0000 0.0000 0.2000  4 Mn 2.97
Lu 0.0000 0.0000 0.8000  4 Mn 2.97
Tm 0.5000 0.5000 0.5000  4 Tm 3.46, 8 Lu 3.52
Mn 0.5000 0.5000 0.0000  8 Lu 2.97